1.
Computed, not measured: an optimized crystal structure of As2PtSeS at the PBE level of DFT.

Properties
total magnetization	0.0	μB per formula unit

Unit cell a=4.839 b=4.839 c=5.090 alpha=90.00 beta=90.00 gamma=90.00
Fractional positions:
As: 0.000 0.500 0.000
As: 0.500 0.000 0.000
Pt: 0.000 0.000 0.000
Se: 0.000 0.000 0.500
S: 0.500 0.500 0.500

2.
Computed, not measured: an optimized crystal structure of As2PtSeS at the PBE level of DFT.

Properties
total magnetization	0.0	μB per formula unit

Unit cell a=4.745 b=4.745 c=4.646 alpha=90.00 beta=90.00 gamma=90.00
Fractional positions:
As: 0.000 0.500 0.000
As: 0.500 0.000 0.000
Pt: 0.000 0.000 0.500
Se: 0.500 0.500 0.500
S: 0.500 0.500 0.000

Energy ordering: 1 at the bottom, the next structure 151 meV per atom above.